# Ta3CoBr

Crystalline Ta3CoBr at its relaxed geometry (PBE-GGA, Alexandria via LeMat-Bulk).

Geometry as POSCAR:
```
Ta3CoBr
1.0
4.6665 0.0000 0.0000
0.0000 4.6665 0.0000
0.0000 0.0000 4.6665
Ta Co Br
3 1 1
direct
0.0000 0.0000 0.5000
0.0000 0.5000 0.0000
0.5000 0.0000 0.0000
0.0000 0.0000 0.0000
0.5000 0.5000 0.5000
```

Values from the calculation:
space group = Pm-3m
calculated total energy = -7.8448 eV per atom
E_form (uncorrected) = 98.7 kJ per mole of atoms
M_tot = 0.0 μB per formula unit
ΔE to the lowest computed polymorph = 0.0 meV per atom

# ZrBe3

Crystalline ZrBe3 at its relaxed geometry (PBE-GGA, Alexandria via LeMat-Bulk).

Geometry as POSCAR:
```
ZrBe3
1.0
3.5704 0.0044 0.0011
1.7850 3.0921 0.0011
1.7822 1.0304 4.4072
Be Zr
3 1
direct
0.2002 0.2002 0.4007
0.7998 0.7998 0.5993
0.5000 0.5000 0.5000
0.0000 0.0000 0.0000
```

Values from the calculation:
space group = R-3m
calculated total energy = -5.0897 eV per atom
M_tot = 0.0 μB per formula unit
E_form = -158 meV per atom
ΔE to the lowest computed polymorph = 22.7 meV per atom

# ZrGa2Cu3

Crystalline ZrGa2Cu3 at its relaxed geometry (PBE-GGA, Alexandria via LeMat-Bulk).

Geometry as POSCAR:
```
ZrGa2Cu3
1.0
3.9239 0.0000 1.0802
1.0223 6.4002 3.9532
0.0223 0.2723 7.5858
Ga Zr Cu
4 2 6
direct
0.8145 0.6856 0.6854
0.5000 0.1714 0.8285
0.5000 0.8286 0.1715
0.1855 0.3144 0.3146
0.8671 0.1328 0.1330
0.1329 0.8672 0.8670
0.9998 0.3367 0.6638
0.0002 0.6633 0.3362
0.6829 0.5295 0.1047
0.3171 0.4705 0.8953
0.6829 0.1046 0.5296
0.3171 0.8954 0.4704
```

Values from the calculation:
space group = Immm
calculated total energy = -4.6884 eV per atom
M_tot = 0.0 μB per formula unit
E_form = -207 meV per atom

# NdTl2Cd

Crystalline NdTl2Cd at its relaxed geometry (PBE-GGA, Alexandria via LeMat-Bulk).

Geometry as POSCAR:
```
NdTl2Cd
1.0
4.9271 0.0000 0.0000
2.4635 4.2670 0.0000
2.4635 1.4223 5.3142
Tl Nd Cd
2 1 1
direct
0.2352 0.2352 0.2945
0.7648 0.7648 0.7055
0.0000 0.0000 0.0000
0.5000 0.5000 0.5000
```

Values from the calculation:
space group = R-3m
calculated total energy = -2.8051 eV per atom
M_tot = 0.0 μB per formula unit
E_form = -201 meV per atom
ΔE to the lowest computed polymorph = 100.5 meV per atom

# Ac2SmTl

Crystalline Ac2SmTl at its relaxed geometry (PBE-GGA, Alexandria via LeMat-Bulk).

Geometry as POSCAR:
```
Ac2SmTl
1.0
6.7764 0.0000 0.0000
0.0000 7.3540 0.2148
-3.3882 -1.6709 5.9535
Sm Tl Ac
2 2 4
direct
0.3152 0.2500 0.0000
0.6848 0.7500 0.0000
0.2140 0.7500 0.0000
0.7860 0.2500 0.0000
0.7790 0.9007 0.5681
0.2108 0.5993 0.4319
0.7892 0.4007 0.5681
0.2210 0.0993 0.4319
```

Values from the calculation:
space group = C2/c
calculated total energy = -3.9105 eV per atom
M_tot = 0.0 μB per formula unit
E_form = -85 meV per atom
ΔE to the lowest computed polymorph = 50.5 meV per atom

# LiFe

Crystalline LiFe at its relaxed geometry (PBE-GGA, Alexandria via LeMat-Bulk).

Geometry as POSCAR:
```
LiFe
1.0
-2.6759 -1.8229 -2.1893
0.9925 -1.4582 -3.4879
0.2025 -3.8692 -0.5147
Li Fe
1 1
direct
0.7500 0.7500 0.7500
0.0000 0.0000 0.0000
```

Values from the calculation:
space group = F-43m
calculated total energy = -3.4689 eV per atom
M_tot = 3.0 μB per formula unit
E_form = 1719 meV per atom

# Ce2Th2Ge4Au

Crystalline Ce2Th2Ge4Au at its relaxed geometry (PBE-GGA, Alexandria via LeMat-Bulk).

Geometry as POSCAR:
```
Ce2Th2Ge4Au
1.0
6.6389 0.2812 0.4058
-2.9401 5.9590 -0.4058
-2.9401 -2.4736 5.4365
Ce Th Ge Au
2 2 4 1
direct
0.0000 0.3438 0.3438
0.0000 0.6562 0.6562
0.5000 0.2500 0.7500
0.5000 0.7500 0.2500
0.0000 0.7543 0.2457
0.0000 0.2457 0.7543
0.4914 0.2457 0.2457
0.5086 0.7543 0.7543
0.0000 0.0000 0.0000
```

Values from the calculation:
space group = I4/mmm
calculated total energy = -5.6761 eV per atom
M_tot = 0.0 μB per formula unit
E_form = -292 meV per atom

# VPtWBr2

Crystalline VPtWBr2 at its relaxed geometry (PBE-GGA, Alexandria via LeMat-Bulk).

Geometry as POSCAR:
```
VPtWBr2
1.0
-0.2565 -3.7160 -3.0158
0.1716 -3.1739 3.8963
-4.7830 0.0958 0.2887
V W Pt Br
1 1 1 2
direct
0.0000 0.0000 0.0000
0.5000 0.5000 0.5000
0.0000 0.5000 0.0000
0.0000 0.0000 0.5000
0.5000 0.0000 0.0000
```

Values from the calculation:
space group = P4/mmm
calculated total energy = -5.0292 eV per atom
E_form (uncorrected) = 121.8 kJ per mole of atoms
M_tot = 6.3 μB per formula unit

In g/cm3, the density values for the records above are, in order, 11.14; 4.04; 7.51; 9.89; 8.98; 2.47; 9.16; 8.48.